1.
A relaxed structure of Na3TmSb2Te6, computed with PBE.

total magnetization	0.00	μB/atom
uncorrected formation energy	-733	meV/atom
E_tot	-88.6	eV/cell

Structure (CIF):
```
data_Na3TmSb2Te6
_chemical_formula_sum 'Na6 Tm2 Sb4 Te12'
_symmetry_space_group_name_H-M 'C 1 2/m 1'
_symmetry_Int_Tables_number 12
_cell_length_a 7.673
_cell_length_b 13.296
_cell_length_c 7.986
_cell_angle_alpha 90.00
_cell_angle_beta 108.69
_cell_angle_gamma 90.00
loop_
_symmetry_equiv_pos_as_xyz
'x,y,z'
'-x,-y,-z'
'-x,y,-z'
'x,-y,z'
'x+1/2,y+1/2,z'
'-x+1/2,-y+1/2,-z'
'-x+1/2,y+1/2,-z'
'x+1/2,-y+1/2,z'
loop_
_atom_site_label
_atom_site_type_symbol
_atom_site_fract_x
_atom_site_fract_y
_atom_site_fract_z
_atom_site_occupancy
Na1 Na 0.000 0.000 0.000 1
Na2 Na 0.000 0.327 0.000 1
Tm1 Tm 0.000 0.500 0.500 1
Sb1 Sb 0.000 0.166 0.500 1
Te1 Te 0.241 0.334 0.728 1
Te2 Te 0.246 0.000 0.731 1
```

2.
A relaxed structure of Na2TmSbTe4, computed with PBE.

total magnetization	0.00	μB/atom
uncorrected formation energy	-871	meV/atom
E_tot	-30.8	eV/cell

Structure (CIF):
```
data_Na2TmSbTe4
_chemical_formula_sum 'Na2 Tm1 Sb1 Te4'
_symmetry_space_group_name_H-M 'P 1 2/m 1'
_symmetry_Int_Tables_number 10
_cell_length_a 7.684
_cell_length_b 4.411
_cell_length_c 7.979
_cell_angle_alpha 90.00
_cell_angle_beta 108.66
_cell_angle_gamma 90.00
loop_
_symmetry_equiv_pos_as_xyz
'x,y,z'
'-x,-y,-z'
'-x,y,-z'
'x,-y,z'
loop_
_atom_site_label
_atom_site_type_symbol
_atom_site_fract_x
_atom_site_fract_y
_atom_site_fract_z
_atom_site_occupancy
Na1 Na 0.000 0.000 0.000 1
Na2 Na 0.500 0.500 0.000 1
Tm1 Tm 0.000 0.500 0.500 1
Sb1 Sb 0.500 0.000 0.500 1
Te1 Te 0.242 0.000 0.728 1
Te2 Te 0.254 0.500 0.271 1
```

3.
A relaxed structure of Na4Tm3SbTe8, computed with PBE.

total magnetization	0.00	μB/atom
uncorrected formation energy	-1082	meV/atom
E_tot	-195.8	eV/cell

Structure (CIF):
```
data_Na4Tm3SbTe8
_chemical_formula_sum 'Na12 Tm9 Sb3 Te24'
_symmetry_space_group_name_H-M 'R -3 m'
_symmetry_Int_Tables_number 166
_symmetry_space_group_name_Hall '-R 3 2"'
_cell_length_a 8.8085
_cell_length_b 8.8085
_cell_length_c 22.6848
_cell_angle_alpha 90.00
_cell_angle_beta 90.00
_cell_angle_gamma 120.00
loop_
_atom_site_label
_atom_site_type_symbol
_atom_site_fract_x
_atom_site_fract_y
_atom_site_fract_z
_atom_site_occupancy
Na1 Na 0.0000 0.0000 0.0000 1
Na2 Na 0.0000 0.5000 0.0000 1
Tm1 Tm 0.0000 0.5000 0.5000 1
Sb1 Sb 0.0000 0.0000 0.5000 1
Te1 Te 0.0000 0.0000 0.2428 1
Te2 Te 0.0016 0.5008 0.7571 1
```

4.
A relaxed structure of Na4USb3Te8, computed with PBE.

total magnetization	0.17	μB/atom
uncorrected formation energy	-525	meV/atom
E_tot	-187.4	eV/cell

Structure (CIF):
```
data_Na4USb3Te8
_chemical_formula_sum 'Na12 U3 Sb9 Te24'
_symmetry_space_group_name_H-M 'R -3 m'
_symmetry_Int_Tables_number 166
_symmetry_space_group_name_Hall '-R 3 2"'
_cell_length_a 8.9814
_cell_length_b 8.9814
_cell_length_c 22.5661
_cell_angle_alpha 90.00
_cell_angle_beta 90.00
_cell_angle_gamma 120.00
loop_
_atom_site_label
_atom_site_type_symbol
_atom_site_fract_x
_atom_site_fract_y
_atom_site_fract_z
_atom_site_occupancy
Na1 Na 0.0000 0.0000 0.0000 1
Na2 Na 0.0000 0.5000 0.0000 1
U1 U 0.0000 0.0000 0.5000 1
Sb1 Sb 0.0000 0.5000 0.5000 1
Te1 Te 0.0000 0.0000 0.2432 1
Te2 Te 0.0017 0.5008 0.7563 1
```

total magnetization of number 4 (Na4USb3Te8)? 0.17 μB/atom

Which value of uncorrected formation energy does entry 1 give? -733 meV/atom